1.
Computed, not measured: Mn2TeCl after structural relaxation at the GGA-PBE level of DFT.

Calculated values
Excess energy over the best structure of this formula in the dataset: 0.0000 eV per atom

```
data_Mn2TeCl
_cell_length_a 3.4134
_cell_length_b 3.4134
_cell_length_c 7.4543
_cell_angle_alpha 90.00
_cell_angle_beta 90.00
_cell_angle_gamma 90.00
_symmetry_space_group_name_H-M 'P 4 m m'
_symmetry_Int_Tables_number 99
loop_
_symmetry_equiv_pos_as_xyz
'x,y,z'
'-y,x,z'
'-x,-y,z'
'y,-x,z'
'-x,y,z'
'y,x,z'
'x,-y,z'
'-y,-x,z'
loop_
_atom_site_label
_atom_site_fract_x
_atom_site_fract_y
_atom_site_fract_z
Mn1 0.0000 0.0000 0.0000
Mn2 0.5000 0.5000 0.1999
Te1 0.0000 0.0000 0.3708
Cl1 0.5000 0.5000 0.8409
```

2.
Computed, not measured: LaDy2S3 after structural relaxation at the GGA-PBE level of DFT.

Calculated values
E_tot: -6.454 eV per atom

```
data_LaDy2S3
_cell_length_a 3.9616
_cell_length_b 5.6655
_cell_length_c 12.0187
_cell_angle_alpha 90.00
_cell_angle_beta 90.00
_cell_angle_gamma 90.00
_symmetry_space_group_name_H-M 'I m m m'
_symmetry_Int_Tables_number 71
_symmetry_space_group_name_Hall '-I 2 2'
loop_
_atom_site_label
_atom_site_fract_x
_atom_site_fract_y
_atom_site_fract_z
La1 0.0000 0.0000 0.0000
Dy1 0.0000 0.0000 0.3374
S1 0.0000 0.5000 0.0000
S2 0.0000 0.5000 0.3220
```

3.
Computed, not measured: La3Dy6Tm2Sc after structural relaxation at the GGA-PBE level of DFT.

Calculated values
Formation energy: 37 meV/atom

```
data_La3Dy6Tm2Sc
_cell_length_a 6.1715
_cell_length_b 10.6947
_cell_length_c 11.7941
_cell_angle_alpha 90.00
_cell_angle_beta 100.07
_cell_angle_gamma 90.00
_symmetry_space_group_name_H-M 'C 1 2/m 1'
_symmetry_Int_Tables_number 12
loop_
_symmetry_equiv_pos_as_xyz
'x,y,z'
'-x,-y,-z'
'-x,y,-z'
'x,-y,z'
'x+1/2,y+1/2,z'
'-x+1/2,-y+1/2,-z'
'-x+1/2,y+1/2,-z'
'x+1/2,-y+1/2,z'
loop_
_atom_site_label
_atom_site_fract_x
_atom_site_fract_y
_atom_site_fract_z
La1 0.0000 0.0000 0.0000
La2 0.0000 0.3333 0.0000
Dy1 0.2449 0.3345 0.7403
Dy2 0.2485 0.0000 0.7404
Tm1 0.0000 0.1666 0.5000
Sc1 0.0000 0.5000 0.5000
```

4.
Computed, not measured: LaNd6Ga2 after structural relaxation at the GGA-PBE level of DFT.

Calculated values
Formation energy: -234 meV/atom

```
data_LaNd6Ga2
_cell_length_a 12.8915
_cell_length_b 3.8261
_cell_length_c 12.1988
_cell_angle_alpha 90.00
_cell_angle_beta 109.79
_cell_angle_gamma 90.00
_symmetry_space_group_name_H-M 'C 1 2/m 1'
_symmetry_Int_Tables_number 12
loop_
_symmetry_equiv_pos_as_xyz
'x,y,z'
'-x,-y,-z'
'-x,y,-z'
'x,-y,z'
'x+1/2,y+1/2,z'
'-x+1/2,-y+1/2,-z'
'-x+1/2,y+1/2,-z'
'x+1/2,-y+1/2,z'
loop_
_atom_site_label
_atom_site_fract_x
_atom_site_fract_y
_atom_site_fract_z
La1 0.0000 0.0000 0.0000
Nd1 0.0256 0.0000 0.3234
Nd2 0.1858 0.5000 0.5868
Nd3 0.1924 0.5000 0.8732
Ga1 0.1525 0.5000 0.2086
```

5.
Computed, not measured: Ba2Pt3Pb5 after structural relaxation at the GGA-PBE level of DFT.

Calculated values
Excess energy over the best structure of this formula in the dataset: 0.1135 eV per atom
Formation energy: -366 meV/atom

```
data_Ba2Pt3Pb5
_cell_length_a 5.0373
_cell_length_b 5.0373
_cell_length_c 11.8052
_cell_angle_alpha 90.00
_cell_angle_beta 90.00
_cell_angle_gamma 90.00
_symmetry_space_group_name_H-M 'P -4 m 2'
_symmetry_Int_Tables_number 115
loop_
_symmetry_equiv_pos_as_xyz
'x,y,z'
'y,-x,-z'
'-x,-y,z'
'-y,x,-z'
'-x,y,z'
'-y,-x,-z'
'x,-y,z'
'y,x,-z'
loop_
_atom_site_label
_atom_site_fract_x
_atom_site_fract_y
_atom_site_fract_z
Ba1 0.0000 0.5000 0.2107
Pt1 0.0000 0.0000 0.0000
Pt2 0.0000 0.5000 0.9042
Pb1 0.0000 0.0000 0.5000
Pb2 0.0000 0.5000 0.6749
Pb3 0.5000 0.5000 0.0000
Pb4 0.5000 0.5000 0.5000
```

6.
Computed, not measured: NaCl after structural relaxation at the GGA-PBE level of DFT.

Calculated values
E_tot: -3.308 eV per atom

```
data_NaCl
_cell_length_a 7.6588
_cell_length_b 7.6588
_cell_length_c 7.6588
_cell_angle_alpha 90.00
_cell_angle_beta 90.00
_cell_angle_gamma 90.00
_symmetry_space_group_name_H-M 'P m -3 n'
_symmetry_Int_Tables_number 223
_symmetry_space_group_name_Hall '-P 4n 2 3'
loop_
_atom_site_label
_atom_site_fract_x
_atom_site_fract_y
_atom_site_fract_z
Na1 0.0000 0.2500 0.5000
Cl1 0.0000 0.5000 0.2500
```